Below is an optimized crystal structure of ScMnBe2Au, with properties calculated at the PBE-GGA level.

Values from the calculation:
As for the crystal system: tetragonal. As for the space group: P4/mmm, No. 123. The calculation puts the formation energy at 1.92 eV per atom. The calculation puts the mass density at 5.26 g cm⁻³.

a = 4.520 Å, b = 4.867 Å, c = 4.520 Å
α = 90.00°, β = 90.00°, γ = 90.00°
Positions (direct):
Sc: 0.000 0.000 0.000
Be: 0.000 0.000 0.500
Be: 0.500 0.000 0.000
Mn: 0.500 0.500 0.500
Au: 0.000 0.500 0.000



Below is an optimized crystal structure of Mn2TcRu, with properties calculated at the PBE-GGA level.

Values from the calculation:
As for the crystal system: cubic. As for the space group: F-43m, No. 216. The calculation puts the formation energy at 0.21 eV per atom. The calculation puts the mass density at 9.64 g cm⁻³.

a = 4.222 Å, b = 4.222 Å, c = 4.222 Å
α = 60.00°, β = 60.00°, γ = 60.00°
Positions (direct):
Mn: 0.000 0.000 0.000
Mn: 0.250 0.250 0.250
Ru: 0.500 0.500 0.500
Tc: 0.750 0.750 0.750



Below is an optimized crystal structure of Mg2TaTi, with properties calculated at the PBE-GGA level.

Values from the calculation:
As for the crystal system: tetragonal. As for the space group: I-42d, No. 122. The calculation puts the formation energy at 0.77 eV per atom. The calculation puts the mass density at 5.82 g cm⁻³.

a = 7.723 Å, b = 7.723 Å, c = 6.072 Å
α = 50.50°, β = 50.50°, γ = 90.00°
Positions (direct):
Mg: 0.617 0.125 0.250
Mg: 0.133 0.625 0.250
Mg: 0.375 0.383 0.750
Mg: 0.875 0.867 0.750
Ti: 0.500 0.500 0.000
Ti: 0.250 0.750 0.500
Ta: 0.000 0.000 0.000
Ta: 0.750 0.250 0.500



Below is an optimized crystal structure of TiGaIr2, with properties calculated at the PBE-GGA level.

Values from the calculation:
As for the crystal system: tetragonal. As for the space group: P4/mmm, No. 123. The calculation puts the formation energy at -0.69 eV per atom. The calculation puts the mass density at 14.18 g cm⁻³.

a = 2.936 Å, b = 2.936 Å, c = 6.823 Å
α = 90.00°, β = 90.00°, γ = 90.00°
Positions (direct):
Ir: 0.000 0.000 0.756
Ir: 0.000 0.000 0.244
Ga: 0.500 0.500 0.000
Ti: 0.500 0.500 0.500



Below is an optimized crystal structure of HoErNb4, with properties calculated at the PBE-GGA level.

Values from the calculation:
As for the crystal system: cubic. As for the space group: F-43m, No. 216. The calculation puts the formation energy at 0.17 eV per atom. The calculation puts the mass density at 8.88 g cm⁻³.

a = 5.710 Å, b = 5.710 Å, c = 5.710 Å
α = 60.00°, β = 60.00°, γ = 60.00°
Positions (direct):
Nb: 0.625 0.625 0.125
Nb: 0.625 0.125 0.625
Nb: 0.625 0.625 0.625
Nb: 0.125 0.625 0.625
Ho: 0.250 0.250 0.250
Er: 0.000 0.000 0.000



Below is an optimized crystal structure of TlPdBr2, with properties calculated at the PBE-GGA level.

Values from the calculation:
As for the crystal system: tetragonal. The offset from the most stable computed form comes out at 0.000 eV per atom. As for the space group: I-42d, No. 122. The raw formation energy is -287 meV per atom. The calculation puts the mass density at 5.31 g cm⁻³.

a = 6.434 Å, b = 6.434 Å, c = 8.442 Å
α = 67.60°, β = 67.60°, γ = 90.00°
Positions (direct):
Tl: 0.000 0.000 0.000
Tl: 0.750 0.250 0.500
Br: 0.534 0.125 0.250
Br: 0.216 0.625 0.250
Br: 0.375 0.466 0.750
Br: 0.875 0.784 0.750
Pd: 0.500 0.500 0.000
Pd: 0.250 0.750 0.500



Below is an optimized crystal structure of Ag2SbRu, with properties calculated at the PBE-GGA level.

Values from the calculation:
As for the crystal system: orthorhombic. As for the space group: Cmmm, No. 65. The raw formation energy is 404 meV per atom. The calculation puts the mass density at 9.85 g cm⁻³.

a = 5.186 Å, b = 5.186 Å, c = 3.100 Å
α = 90.00°, β = 90.00°, γ = 117.52°
Positions (direct):
Ag: 0.000 0.000 0.000
Ag: 0.500 0.500 0.000
Ru: 0.500 0.000 0.500
Sb: 0.000 0.500 0.500



Below is an optimized crystal structure of Sc3Mn, with properties calculated at the PBE-GGA level.

Values from the calculation:
As for the crystal system: trigonal. As for the space group: R-3m, No. 166. The calculation puts the formation energy at 0.19 eV per atom. The calculation puts the mass density at 3.68 g cm⁻³.

a = 3.164 Å, b = 10.039 Å, c = 3.164 Å
α = 99.07°, β = 60.00°, γ = 99.07°
Positions (direct):
Mn: 0.000 0.000 0.000
Sc: 0.259 0.778 0.259
Sc: 0.500 0.500 0.500
Sc: 0.741 0.222 0.741



Below is an optimized crystal structure of Ba3MgTa2O9, with properties calculated at the PBE-GGA level.

Values from the calculation:
As for the crystal system: trigonal. As for the space group: P-3m1, No. 164. The raw formation energy is -2998 meV per atom. The calculation puts the mass density at 7.37 g cm⁻³.

a = 5.843 Å, b = 5.843 Å, c = 7.177 Å
α = 90.00°, β = 90.00°, γ = 120.00°
Positions (direct):
Ba: 0.333 0.667 0.664
Ba: 0.000 0.000 0.000
Ba: 0.667 0.333 0.336
Mg: 0.000 0.000 0.500
Ta: 0.333 0.667 0.177
Ta: 0.667 0.333 0.823
O: 0.828 0.172 0.675
O: 0.828 0.656 0.675
O: 0.344 0.172 0.675
O: 0.656 0.828 0.325
O: 0.172 0.344 0.325
O: 0.172 0.828 0.325
O: 0.500 0.000 0.000
O: 0.000 0.500 0.000
O: 0.500 0.500 0.000



Below is an optimized crystal structure of BeNi2Pt, with properties calculated at the PBE-GGA level.

Values from the calculation:
As for the crystal system: tetragonal. As for the space group: I-4m2, No. 119. The calculation puts the formation energy at -0.26 eV per atom. The calculation puts the mass density at 11.56 g cm⁻³.

a = 4.270 Å, b = 4.270 Å, c = 4.270 Å
α = 128.66°, β = 128.66°, γ = 75.55°
Positions (direct):
Ni: 0.000 0.000 0.000
Ni: 0.250 0.750 0.500
Pt: 0.500 0.500 0.000
Be: 0.750 0.250 0.500



Below is an optimized crystal structure of Ba2NaNiN, with properties calculated at the PBE-GGA level.

Values from the calculation:
As for the crystal system: tetragonal. As for the space group: P4/mmm, No. 123. The raw formation energy is -135 meV per atom. The calculation puts the mass density at 4.69 g cm⁻³.

a = 5.992 Å, b = 5.992 Å, c = 3.654 Å
α = 90.00°, β = 90.00°, γ = 90.00°
Positions (direct):
Ni: 0.000 0.000 0.500
N: 0.000 0.000 0.000
Ba: 0.000 0.500 0.000
Ba: 0.500 0.000 0.000
Na: 0.500 0.500 0.500



Below is an optimized crystal structure of BaPaSb2, with properties calculated at the PBE-GGA level.

Values from the calculation:
As for the crystal system: tetragonal. The offset from the most stable computed form comes out at 0.092 eV per atom. As for the space group: P4/mmm, No. 123. The raw formation energy is -645 meV per atom. The calculation puts the mass density at 8.11 g cm⁻³.

a = 3.892 Å, b = 3.892 Å, c = 8.272 Å
α = 90.00°, β = 90.00°, γ = 90.00°
Positions (direct):
Sb: 0.000 0.000 0.790
Sb: 0.000 0.000 0.210
Pa: 0.500 0.500 0.000
Ba: 0.500 0.500 0.500



Below is an optimized crystal structure of Sm12Ho3Cd, with properties calculated at the PBE-GGA level.

Values from the calculation:
As for the crystal system: tetragonal. As for the space group: P4/mmm, No. 123. The calculation puts the formation energy at -0.01 eV per atom. The calculation puts the mass density at 7.74 g cm⁻³.

a = 5.040 Å, b = 5.040 Å, c = 20.377 Å
α = 90.00°, β = 90.00°, γ = 90.00°
Positions (direct):
Sm: 0.500 0.500 0.000
Sm: 0.500 0.500 0.246
Sm: 0.500 0.500 0.500
Sm: 0.500 0.500 0.754
Sm: 0.500 0.000 0.122
Sm: 0.500 0.000 0.374
Sm: 0.500 0.000 0.626
Sm: 0.500 0.000 0.878
Sm: 0.000 0.500 0.122
Sm: 0.000 0.500 0.374
Sm: 0.000 0.500 0.626
Sm: 0.000 0.500 0.878
Ho: 0.000 0.000 0.248
Ho: 0.000 0.000 0.500
Ho: 0.000 0.000 0.752
Cd: 0.000 0.000 0.000



Below is an optimized crystal structure of Ho2TmZn, with properties calculated at the PBE-GGA level.

Values from the calculation:
As for the crystal system: tetragonal. The offset from the most stable computed form comes out at 0.158 eV per atom. As for the space group: P4/mmm, No. 123. The calculation puts the formation energy at 0.00 eV per atom. The calculation puts the mass density at 8.90 g cm⁻³.

a = 3.860 Å, b = 5.223 Å, c = 5.223 Å
α = 90.00°, β = 90.00°, γ = 90.00°
Positions (direct):
Zn: 0.500 0.000 0.000
Tm: 0.500 0.500 0.500
Ho: 0.000 0.000 0.500
Ho: 0.000 0.500 0.000



Below is an optimized crystal structure of Ho3Tm2Cu2, with properties calculated at the PBE-GGA level.

Values from the calculation:
As for the crystal system: monoclinic. As for the space group: C2/m, No. 12. The calculation puts the formation energy at -0.13 eV per atom. The calculation puts the mass density at 9.04 g cm⁻³.

a = 3.583 Å, b = 6.424 Å, c = 8.914 Å
α = 115.36°, β = 90.00°, γ = 106.19°
Positions (direct):
Ho: 0.500 0.000 0.000
Ho: 0.614 0.228 0.443
Ho: 0.386 0.772 0.557
Tm: 0.845 0.690 0.186
Tm: 0.155 0.310 0.814
Cu: 0.828 0.655 0.772
Cu: 0.172 0.345 0.228



Below is an optimized crystal structure of CeY2PbC, with properties calculated at the PBE-GGA level.

Values from the calculation:
As for the crystal system: tetragonal. As for the space group: P4/mmm, No. 123. The calculation puts the formation energy at -0.47 eV per atom. The calculation puts the mass density at 7.30 g cm⁻³.

a = 4.951 Å, b = 4.967 Å, c = 4.967 Å
α = 90.00°, β = 90.00°, γ = 90.00°
Positions (direct):
Ce: 0.500 0.000 0.000
Y: 0.000 0.000 0.500
Y: 0.000 0.500 0.000
Pb: 0.500 0.500 0.500
C: 0.000 0.000 0.000



Below is an optimized crystal structure of TbPm6Ho2, with properties calculated at the PBE-GGA level.

Values from the calculation:
As for the crystal system: monoclinic. The offset from the most stable computed form comes out at 0.068 eV per atom. As for the space group: C2/c, No. 15. The calculation puts the formation energy at 0.08 eV per atom. The calculation puts the mass density at 7.55 g cm⁻³.

a = 6.222 Å, b = 10.098 Å, c = 10.098 Å
α = 71.34°, β = 85.12°, γ = 85.12°
Positions (direct):
Tb: 0.250 0.099 0.901
Tb: 0.750 0.901 0.099
Pm: 0.486 0.688 0.407
Pm: 0.014 0.593 0.312
Pm: 0.514 0.312 0.593
Pm: 0.986 0.407 0.688
Pm: 0.653 0.074 0.356
Pm: 0.847 0.644 0.926
Pm: 0.347 0.926 0.644
Pm: 0.153 0.356 0.074
Pm: 0.319 0.739 0.021
Pm: 0.181 0.979 0.261
Pm: 0.681 0.261 0.979
Pm: 0.819 0.021 0.739
Ho: 0.416 0.568 0.765
Ho: 0.084 0.235 0.432
Ho: 0.584 0.432 0.235
Ho: 0.916 0.765 0.568



Below is an optimized crystal structure of K2AcAsS4, with properties calculated at the PBE-GGA level.

Values from the calculation:
As for the crystal system: orthorhombic. As for the space group: Imma, No. 74. The raw formation energy is -1137 meV per atom. The calculation puts the mass density at 3.86 g cm⁻³.

a = 8.518 Å, b = 8.518 Å, c = 8.808 Å
α = 121.13°, β = 121.13°, γ = 89.78°
Positions (direct):
K: 0.500 0.000 0.000
K: 0.500 0.000 0.500
K: 0.000 0.000 0.500
K: 0.500 0.500 0.000
Ac: 0.000 0.500 0.000
Ac: 0.000 0.500 0.500
As: 0.500 0.500 0.500
As: 0.000 0.000 0.000
S: 0.212 0.763 0.987
S: 0.737 0.288 0.513
S: 0.263 0.712 0.487
S: 0.788 0.237 0.013
S: 0.755 0.745 0.952
S: 0.755 0.746 0.548
S: 0.246 0.255 0.452
S: 0.245 0.254 0.048



Below is an optimized crystal structure of DyTi2, with properties calculated at the PBE-GGA level.

Values from the calculation:
As for the crystal system: cubic. As for the space group: Fd-3m, No. 227. The calculation puts the formation energy at 0.24 eV per atom. The calculation puts the mass density at 6.19 g cm⁻³.

a = 5.807 Å, b = 5.807 Å, c = 5.807 Å
α = 60.00°, β = 60.00°, γ = 60.00°
Positions (direct):
Ti: 0.125 0.625 0.625
Ti: 0.625 0.125 0.625
Ti: 0.625 0.625 0.625
Ti: 0.625 0.625 0.125
Dy: 0.000 0.000 0.000
Dy: 0.250 0.250 0.250



Below is an optimized crystal structure of BaAs2AuBr, with properties calculated at the PBE-GGA level.

Values from the calculation:
As for the crystal system: tetragonal. The offset from the most stable computed form comes out at 0.000 eV per atom. As for the space group: P4/mmm, No. 123. The raw formation energy is -334 meV per atom. The calculation puts the mass density at 5.82 g cm⁻³.

a = 4.959 Å, b = 4.959 Å, c = 6.542 Å
α = 90.00°, β = 90.00°, γ = 90.00°
Positions (direct):
As: 0.000 0.500 0.000
As: 0.500 0.000 0.000
Au: 0.000 0.000 0.000
Ba: 0.500 0.500 0.500
Br: 0.000 0.000 0.500



The spin magnetization results, record by record, are as follows: 0.0, 4.2, 0.0, 0.0, 0.0, 1.0, 0.7, 3.1, 0.0, 1.1, 0.0, 0.6, 0.0, 0.0, 0.0, 0.7, 0.0, 0.0, 4.8, 1.0 μB per formula unit.